The following is a DFT calculation (PBE with a Hubbard U) of an optimized crystal structure of BaMoNF2.

relative energy among the computed polymorphs: 0.00 eV/f.u.
SG: No. 123
magnetic moment: 1.00 μB/cell

Cell lengths 4.4479, 4.4479, 4.0810 Å; angles 90.00, 90.00, 90.00 degrees
Sites, in units of the cell vectors:
Ba1 0.0000 0.0000 0.0000
Mo1 0.5000 0.5000 0.5000
N1 0.5000 0.5000 0.0000
F1 0.0000 0.5000 0.5000
F2 0.5000 0.0000 0.5000